First-principles (GGA-PBE) data for a geometry-optimized Nd6CoNi2Br3 structure, as listed in the Alexandria database.

Cell lengths 7.023, 7.023, 8.109 Å; angles 98.30, 98.30, 120.01 degrees
Positions (direct):
Nd (0.064, 0.391, 0.193)
Nd (0.738, 0.738, 0.193)
Nd (0.936, 0.609, 0.807)
Nd (0.609, 0.936, 0.807)
Nd (0.391, 0.064, 0.193)
Nd (0.262, 0.262, 0.807)
Ni (0.333, 0.667, 0.000)
Ni (0.667, 0.333, 0.000)
Co (0.000, 0.000, 0.000)
Br (0.500, 0.500, 0.500)
Br (0.834, 0.166, 0.500)
Br (0.166, 0.834, 0.500)

Output
The symmetry is C2/m, No. 12. The formation energy (no corrections) is -0.79 eV/atom.

First-principles (GGA-PBE) data for a geometry-optimized PdPt structure, as listed in the Alexandria database.

Cell lengths 7.063, 7.063, 7.063 Å; angles 90.00, 90.00, 90.00 degrees
Positions (direct):
Pt (0.250, 0.500, 0.000)
Pt (0.500, 0.000, 0.250)
Pt (0.000, 0.750, 0.500)
Pt (0.000, 0.250, 0.500)
Pt (0.750, 0.500, 0.000)
Pt (0.500, 0.000, 0.750)
Pd (0.000, 0.500, 0.750)
Pd (0.000, 0.500, 0.250)
Pd (0.750, 0.000, 0.500)
Pd (0.500, 0.250, 0.000)
Pd (0.250, 0.000, 0.500)
Pd (0.500, 0.750, 0.000)

Output
The symmetry is Pm-3n, No. 223. The energy of formation from the pure elements comes out at 1.0744 eV/atom.

First-principles (GGA-PBE) data for a geometry-optimized LaMg8Sb6 structure, as listed in the Alexandria database.

Cell lengths 8.146, 8.146, 8.688 Å; angles 62.04, 62.04, 60.00 degrees
Positions (direct):
Mg (0.877, 0.551, 0.364)
Mg (0.209, 0.877, 0.364)
Mg (0.334, 0.334, 0.999)
Mg (0.666, 0.666, 0.001)
Mg (0.791, 0.123, 0.636)
Mg (0.449, 0.791, 0.636)
Mg (0.123, 0.449, 0.636)
Mg (0.551, 0.209, 0.364)
Sb (0.736, 0.420, 0.768)
Sb (0.420, 0.075, 0.768)
Sb (0.075, 0.736, 0.768)
Sb (0.264, 0.580, 0.232)
Sb (0.925, 0.264, 0.232)
Sb (0.580, 0.925, 0.232)
La (0.000, 0.000, 0.000)

Output
The symmetry is R-3, No. 148. The formation energy (no corrections) is -0.48 eV/atom.